Entry 1:
A plane-wave DFT calculation with PBE was carried out for BaSnAsPd3 after structural relaxation.

Structure (CIF):
```
data_BaSnAsPd3
_cell_length_a 7.006
_cell_length_b 13.507
_cell_length_c 6.476
_cell_angle_alpha 90.00
_cell_angle_beta 90.00
_cell_angle_gamma 90.00
_space_group_name_H-M_alt 'C m c m'
_space_group_IT_number 63
_space_group_name_Hall '-C 2c 2'
loop_
_atom_site_label
_atom_site_fract_x
_atom_site_fract_y
_atom_site_fract_z
Ba1 0.000 0.246 0.250
Sn1 0.000 0.454 0.750
As1 0.000 0.086 0.750
Pd1 0.000 0.262 0.750
Pd2 0.205 0.000 0.000
```



Entry 2:
A plane-wave DFT calculation with PBE was carried out for BaSnAsPd2 after structural relaxation.

Structure (CIF):
```
data_BaSnAsPd2
_cell_length_a 5.346
_cell_length_b 5.346
_cell_length_c 5.866
_cell_angle_alpha 90.00
_cell_angle_beta 90.00
_cell_angle_gamma 90.00
_space_group_name_H-M_alt 'P 4/m m m'
_space_group_IT_number 123
_space_group_name_Hall '-P 4 2'
loop_
_atom_site_label
_atom_site_fract_x
_atom_site_fract_y
_atom_site_fract_z
Ba1 0.000 0.000 0.000
Sn1 0.500 0.500 0.500
As1 0.000 0.000 0.500
Pd1 0.000 0.500 0.000
```



Entry 3:
A plane-wave DFT calculation with PBE was carried out for BaSrAsPd after structural relaxation.

Structure (CIF):
```
data_BaSrAsPd
_cell_length_a 7.751
_cell_length_b 7.751
_cell_length_c 7.751
_cell_angle_alpha 90.00
_cell_angle_beta 90.00
_cell_angle_gamma 90.00
_space_group_name_H-M_alt 'F -4 3 m'
_space_group_IT_number 216
_space_group_name_Hall 'F -4 2 3'
loop_
_atom_site_label
_atom_site_fract_x
_atom_site_fract_y
_atom_site_fract_z
Ba1 0.000 0.000 0.000
Sr1 0.000 0.000 0.500
As1 0.250 0.250 0.250
Pd1 0.250 0.250 0.750
```



Entry 4:
A plane-wave DFT calculation with PBE was carried out for BaSrAs2Pd4 after structural relaxation.

Structure (CIF):
```
data_BaSrAs2Pd4
_cell_length_a 4.374
_cell_length_b 4.374
_cell_length_c 10.411
_cell_angle_alpha 90.00
_cell_angle_beta 90.00
_cell_angle_gamma 90.00
_space_group_name_H-M_alt 'P 4/m m m'
_space_group_IT_number 123
_space_group_name_Hall '-P 4 2'
loop_
_atom_site_label
_atom_site_fract_x
_atom_site_fract_y
_atom_site_fract_z
Ba1 0.000 0.000 0.000
Sr1 0.000 0.000 0.500
As1 0.500 0.500 0.177
Pd1 0.000 0.500 0.280
```



Entry 5:
A plane-wave DFT calculation with PBE was carried out for Ba2SrAs3Pd12 after structural relaxation.

Structure (CIF):
```
data_Ba2SrAs3Pd12
_cell_length_a 9.6308
_cell_length_b 9.6308
_cell_length_c 13.3430
_cell_angle_alpha 90.00
_cell_angle_beta 90.00
_cell_angle_gamma 120.00
_space_group_name_H-M_alt 'R -3 m'
_space_group_IT_number 166
_space_group_name_Hall '-R 3 2"'
loop_
_atom_site_label
_atom_site_fract_x
_atom_site_fract_y
_atom_site_fract_z
Ba1 0.0000 0.0000 0.1271
Sr1 0.0000 0.0000 0.5000
As1 0.0000 0.5000 0.0000
Pd1 0.0016 0.5008 0.8178
Pd2 0.0385 0.5193 0.3850
```



Entry 6:
A plane-wave DFT calculation with PBE was carried out for BaSrAs2Pd5 after structural relaxation.

Structure (CIF):
```
data_BaSrAs2Pd5
_cell_length_a 4.691
_cell_length_b 4.691
_cell_length_c 8.724
_cell_angle_alpha 90.00
_cell_angle_beta 90.00
_cell_angle_gamma 90.00
_space_group_name_H-M_alt 'P 4/m m m'
_space_group_IT_number 123
_space_group_name_Hall '-P 4 2'
loop_
_atom_site_label
_atom_site_fract_x
_atom_site_fract_y
_atom_site_fract_z
Ba1 0.000 0.000 0.000
Sr1 0.000 0.000 0.500
As1 0.500 0.500 0.328
Pd1 0.000 0.500 0.237
Pd2 0.500 0.500 0.000
```



Entry 7:
A plane-wave DFT calculation with PBE was carried out for BaTbAs2Pd4 after structural relaxation.

Structure (CIF):
```
data_BaTbAs2Pd4
_cell_length_a 4.224
_cell_length_b 4.224
_cell_length_c 10.265
_cell_angle_alpha 90.00
_cell_angle_beta 90.00
_cell_angle_gamma 90.00
_space_group_name_H-M_alt 'P 4/m m m'
_space_group_IT_number 123
_space_group_name_Hall '-P 4 2'
loop_
_atom_site_label
_atom_site_fract_x
_atom_site_fract_y
_atom_site_fract_z
Ba1 0.000 0.000 0.000
Tb1 0.000 0.000 0.500
As1 0.500 0.500 0.179
Pd1 0.000 0.500 0.305
```



Entry 8:
A plane-wave DFT calculation with PBE was carried out for Ba2TlAs3Pd4 after structural relaxation.

Structure (CIF):
```
data_Ba2TlAs3Pd4
_cell_length_a 4.619
_cell_length_b 4.619
_cell_length_c 10.620
_cell_angle_alpha 90.00
_cell_angle_beta 90.00
_cell_angle_gamma 90.00
_space_group_name_H-M_alt 'P -4 m 2'
_space_group_IT_number 115
loop_
_space_group_symop_operation_xyz
'x,y,z'
'y,-x,-z'
'-x,-y,z'
'-y,x,-z'
'-x,y,z'
'-y,-x,-z'
'x,-y,z'
'y,x,-z'
loop_
_atom_site_label
_atom_site_fract_x
_atom_site_fract_y
_atom_site_fract_z
Ba1 0.000 0.500 0.241
Tl1 0.000 0.000 0.500
As1 0.000 0.500 0.883
As2 0.500 0.500 0.500
Pd1 0.000 0.000 0.000
Pd2 0.000 0.500 0.644
Pd3 0.500 0.500 0.000
```



Number 1: E_form -574 meV/atom, E -118.40 eV per cell. Number 2: E_form 913 meV/atom, E -16.39 eV per cell. Number 3: E_form -713 meV/atom, E -65.19 eV per cell. Number 4: E_form -622 meV/atom, E -38.65 eV per cell. Number 5: E_form -268 meV/atom, E -259.85 eV per cell. Number 6: E_form -603 meV/atom, E -44.29 eV per cell. Number 7: E_form -701 meV/atom, E -42.23 eV per cell. Number 8: E_form -663 meV/atom, E -47.56 eV per cell.